1.
Density functional theory data (GGA-PBE) for a relaxed structure of As2HBrF.

abc: 4.0855 4.0855 4.6366
angles: 90.00 90.00 90.00
With the nearest neighbours (Å) after each atom.
Sites, in units of the cell vectors:
H 0.0000 0.0000 0.0000  4 As 2.04
As 0.0000 0.5000 0.0000  2 H 2.04
As 0.5000 0.0000 0.0000  2 H 2.04
Br 0.0000 0.0000 0.5000  2 H 2.32
F 0.5000 0.5000 0.5000  4 Br 2.89, 8 As 3.09

## Properties
Energy above the lowest structure with this stoichiometry, meV/atom: 0.0
Uncorrected energy, eV per formula unit: -14.8
Symmetry: P4/mmm, No. 123
DOS(E_F), states/eV/atom: 0.389



2.
Density functional theory data (GGA-PBE) for a relaxed structure of NpScPa2P4.

abc: 3.9330 6.7892 6.7526
angles: 109.60 90.00 90.00
With the nearest neighbours (Å) after each atom.
Sites, in units of the cell vectors:
Np 0.0000 0.0000 0.0000  6 P 2.76
Sc 0.5000 0.5000 0.0000  6 P 2.71-2.72
Pa 0.5000 0.0000 0.5000  6 P 2.82
Pa 0.0000 0.5000 0.5000  6 P 2.77-2.78
P 0.5000 0.2535 0.2434  1 Sc 2.71, 2 Np 2.76, 3 Pa 2.78-2.82
P 0.5000 0.7465 0.7566  1 Sc 2.71, 2 Np 2.76, 3 Pa 2.78-2.82
P 0.0000 0.2581 0.7589  2 Sc 2.72, 1 Np 2.76, 3 Pa 2.77-2.82
P 0.0000 0.7419 0.2411  2 Sc 2.72, 1 Np 2.76, 3 Pa 2.77-2.82

## Properties
Uncorrected energy, eV per formula unit: -69.9
E_form, eV/atom: -1.2438
Symmetry: P2/m, No. 10
DOS(E_F), states/eV/atom: 1.497